(1)
Here is an optimized crystal structure of SrLi2PbCl6 from the Alexandria database. Energies are from PBE.

abc: 6.974 6.973 7.315
angles: 61.53 61.53 59.99
Atoms (fractional coordinates):
1 Cl 0.647 0.243 0.246
2 Cl 0.864 0.647 0.246
3 Cl 0.361 0.745 0.742
4 Cl 0.243 0.864 0.246
5 Cl 0.152 0.361 0.742
6 Cl 0.745 0.152 0.742
7 Li 0.513 0.513 0.461
8 Li 0.020 0.019 0.941
9 Pb 0.810 0.810 0.571
10 Sr 0.307 0.307 0.079

Volume (A^3/atom): 25.719
Raw formation energy (eV/atom): -1.790
Density of states at the Fermi level (states/eV per atom): 0.000


(2)
Here is an optimized crystal structure of Tl2ReBr4F2 from the Alexandria database. Energies are from PBE.

abc: 7.087 6.969 6.969
angles: 65.15 61.94 61.94
Each line ends with the local moment (μB).
Atoms (fractional coordinates):
1 F 0.244 0.196 0.196  0.09
2 F 0.756 0.804 0.804  0.09
3 Tl 0.207 0.738 0.738  0.01
4 Tl 0.793 0.262 0.262  0.01
5 Br 0.295 0.198 0.717  0.03
6 Br 0.295 0.717 0.198  0.03
7 Br 0.705 0.283 0.802  0.03
8 Br 0.705 0.802 0.283  0.03
9 Re 0.500 0.000 0.000  2.27

Volume (A^3/atom): 28.793
Raw formation energy (eV/atom): -1.038


(3)
Here is an optimized crystal structure of YCrPt from the Alexandria database. Energies are from PBE.

abc: 4.663 4.663 4.663
angles: 60.00 60.00 60.00
Each line ends with the local moment (μB).
Atoms (fractional coordinates):
1 Pt 0.500 0.500 0.500  0.06
2 Cr 0.000 0.000 0.000  3.90
3 Y 0.250 0.250 0.250  0.18

Volume (A^3/atom): 23.900
Distance to the lowest polymorph of the same formula (meV/atom): 650
E_form (eV per atom): 0.26
Density of states at the Fermi level (states/eV per atom): 0.876


(4)
Here is an optimized crystal structure of NbCl4F from the Alexandria database. Energies are from PBE.

abc: 8.553 9.791 10.398
angles: 77.29 66.56 69.50
Atoms (fractional coordinates):
1 Cl 0.139 0.558 0.301
2 Cl 0.861 0.442 0.699
3 Cl 0.754 0.773 0.249
4 Cl 0.354 0.506 0.894
5 Cl 0.873 0.852 0.495
6 Cl 0.255 0.874 0.221
7 Cl 0.456 0.826 0.836
8 Cl 0.127 0.148 0.505
9 Cl 0.745 0.126 0.779
10 Cl 0.350 0.733 0.590
11 Cl 0.646 0.494 0.106
12 Cl 0.650 0.267 0.410
13 Cl 0.960 0.722 0.858
14 Cl 0.544 0.174 0.164
15 Cl 0.246 0.227 0.751
16 Cl 0.040 0.278 0.142
17 Nb 0.766 0.254 0.172
18 Nb 0.234 0.746 0.828
19 Nb 0.005 0.803 0.265
20 Nb 0.995 0.197 0.735
21 F 0.110 0.789 0.043
22 F 0.105 0.974 0.798
23 F 0.890 0.211 0.957
24 F 0.895 0.026 0.202

Volume (A^3/atom): 31.039
Raw formation energy (eV/atom): -1.613
Density of states at the Fermi level (states/eV per atom): 0.000


(5)
Here is an optimized crystal structure of LaHgCl from the Alexandria database. Energies are from PBE.

abc: 3.925 3.925 7.722
angles: 90.00 90.00 120.00
Atoms (fractional coordinates):
1 La 0.333 0.667 0.686
2 Hg 0.667 0.333 0.386
3 Cl 0.000 0.000 0.928

Volume (A^3/atom): 34.347
Distance to the lowest polymorph of the same formula (meV/atom): 183
Raw formation energy (eV/atom): -1.026
Density of states at the Fermi level (states/eV per atom): 0.608


(6)
Here is an optimized crystal structure of Ga8Ni3Pt2 from the Alexandria database. Energies are from PBE.

abc: 4.037 8.045 7.461
angles: 122.63 90.00 90.00
Atoms (fractional coordinates):
1 Ga 0.000 0.869 0.740
2 Ga 0.500 0.370 0.238
3 Ga 0.500 0.868 0.238
4 Ga 0.500 0.630 0.762
5 Ga 0.000 0.609 0.216
6 Ga 0.000 0.131 0.260
7 Ga 0.000 0.391 0.784
8 Ga 0.500 0.132 0.762
9 Ni 0.000 0.233 0.000
10 Ni 0.500 0.000 0.000
11 Ni 0.000 0.767 0.000
12 Pt 0.500 0.742 0.483
13 Pt 0.500 0.258 0.517

Volume (A^3/atom): 15.696
E_form (eV per atom): -0.43
Density of states at the Fermi level (states/eV per atom): 0.368


(7)
Here is an optimized crystal structure of NpUGa4 from the Alexandria database. Energies are from PBE.

abc: 5.449 5.449 5.449
angles: 60.00 60.00 60.00
Each line ends with the local moment (μB).
Atoms (fractional coordinates):
1 Ga 0.625 0.625 0.125  -0.02
2 Ga 0.125 0.625 0.625  -0.02
3 Ga 0.625 0.625 0.625  -0.02
4 Ga 0.625 0.125 0.625  -0.02
5 U 0.000 0.000 0.000  2.46
6 Np 0.250 0.250 0.250  4.03

Volume (A^3/atom): 19.066
Distance to the lowest polymorph of the same formula (meV/atom): 0
E_form (eV per atom): -0.19
Density of states at the Fermi level (states/eV per atom): 1.718


| no. | total magnetic moment (μB/f.u.) |
| --- | --- |
| 1 | 0.00 |
| 2 | 3.00 |
| 3 | 4.72 |
| 4 | 0.00 |
| 5 | 0.00 |
| 6 | 0.00 |
| 7 | 7.13 |